one.
Density functional theory data (PBE) for a geometry-optimized Cd3P2O8 structure.

```
13
Lattice="-5.0538 1.1247 -0.2759 -2.5472 -0.8469 4.6950 0.0628 5.7138 3.6198" Properties=species:S:1:pos:R:3 pbc="T T T"
Cd 0.0000 0.0000 0.0000
Cd -1.9190 1.9812 2.2525
Cd -5.6193 4.0104 5.7864
O -5.7379 0.2602 3.2728
O -3.3411 0.9807 3.6837
O -5.3368 1.9461 5.0107
O -4.9068 2.5788 2.5588
O -2.6315 3.4128 5.4800
O -2.2014 4.0455 3.0281
O -4.1971 5.0109 4.3551
O -1.8004 5.7314 4.7661
P -4.8162 1.4602 3.6136
P -2.7220 4.5314 4.4252
```

two.
Density functional theory data (PBE) for a geometry-optimized Cd3P2O8 structure.

```
52
Lattice="-1.8820 6.8688 -2.6940 -4.0139 2.1877 8.3819 9.1873 2.5906 0.1871" Properties=species:S:1:pos:R:3 pbc="T T T"
Cd -1.8000 3.8021 1.4724
Cd -2.6078 2.2306 7.5090
Cd -1.9602 7.9576 1.4186
Cd 1.9481 3.9165 -0.8542
Cd 0.2395 5.7806 3.8104
Cd 1.7878 8.0720 -0.9080
Cd 1.5035 3.5751 6.7830
Cd 3.0519 5.8665 2.0646
Cd 1.3433 7.7306 6.7292
Cd 5.2516 3.6895 4.4564
Cd 7.7811 2.5477 1.0600
Cd 5.0914 7.8450 4.4026
O -1.8604 2.1669 5.0380
O -1.0832 6.4510 -1.4278
O -0.3771 4.1349 -0.4043
O -1.9891 4.4763 3.8279
O -0.2463 2.4220 2.1847
O -3.2135 7.1763 4.9801
O -2.2753 4.2028 6.3453
O -1.0412 5.9913 1.0796
O 1.9589 2.4893 0.8157
O -1.1352 7.6127 3.4820
O 0.0056 3.8995 5.1373
O 1.1641 6.0586 -0.2893
O -1.9488 9.2635 5.2446
O 1.9442 1.9755 3.2292
O 1.3523 4.3970 2.3946
O -0.8203 6.9846 5.8341
O 4.1116 4.6625 0.0408
O 1.9391 7.2501 3.4803
O 1.3472 9.6716 2.6458
O 5.2402 2.3836 0.6303
O 2.1273 5.5885 6.1642
O 3.2858 7.7476 0.7377
O 4.4266 4.0344 2.3929
O 1.3325 9.1578 5.0592
O 4.3326 5.6558 4.7953
O 5.5667 7.4443 -0.4703
O 6.5049 4.4708 0.8949
O 3.5378 9.2252 3.6903
O 5.2805 7.1708 2.0471
O 3.6685 7.5122 6.2792
O 4.3746 5.1961 7.3028
O 5.1518 9.4803 0.8369
P -1.5282 3.6878 5.0897
P -0.3497 5.6639 -0.2849
P 1.2593 2.8465 2.1686
P -1.7810 7.7578 4.8826
P 5.0724 3.8893 0.9924
P 2.0321 8.8007 3.7064
P 3.6411 5.9832 6.1598
P 4.8196 7.9593 0.7852
```

Name the least stable of them. one.